Entry 1:
## Cs3Sm3PuO8 (PBE)

Data for a relaxed Cs3Sm3PuO8 crystal.

Properties
Uncorrected formation energy in eV/atom: -2.67
Total energy in eV/atom: -7.388
Calculated volume in Å³ per atom: 21.02
Density of states at the Fermi level in states/eV/atom: 0.3476
Spin magnetization in Bohr magnetons per cell: 4.00
Space group: R-3m, No. 166

Lattice parameters (Å, degrees): 8.157 8.157 8.157 52.39 52.39 52.39
Element x y z (fractional)
Cs 0.000 0.500 0.500
Cs 0.500 0.000 0.500
Cs 0.500 0.500 0.000
Sm 0.000 0.000 0.500
Sm 0.000 0.500 0.000
Sm 0.500 0.000 0.000
Pu 0.500 0.500 0.500
O 0.221 0.221 0.221
O 0.236 0.711 0.711
O 0.289 0.289 0.764
O 0.289 0.764 0.289
O 0.711 0.236 0.711
O 0.711 0.711 0.236
O 0.764 0.289 0.289
O 0.779 0.779 0.779

***

Entry 2:
## Mg2Zn2Se3 (PBE)

Data for a relaxed Mg2Zn2Se3 crystal.

Properties
Uncorrected formation energy in eV/atom: -0.76
Offset from the most stable computed form in meV/atom: 0
Total energy in eV/atom: -3.073
Calculated volume in Å³ per atom: 25.55
Spin magnetization in Bohr magnetons per cell: 0.00
Space group: C2/m, No. 12

Lattice parameters (Å, degrees): 7.569 7.569 13.029 114.37 114.37 32.05
Element x y z (fractional)
Mg 0.032 0.032 0.167
Mg 0.253 0.253 0.887
Mg 0.747 0.747 0.113
Mg 0.968 0.968 0.833
Zn 0.390 0.390 0.576
Zn 0.413 0.413 0.402
Zn 0.587 0.587 0.598
Zn 0.610 0.610 0.424
Se 0.081 0.081 0.704
Se 0.141 0.141 0.017
Se 0.359 0.359 0.740
Se 0.641 0.641 0.260
Se 0.859 0.859 0.983
Se 0.919 0.919 0.296

***

Entry 3:
## BeFeAg2 (PBE)

Data for a relaxed BeFeAg2 crystal.

Properties
Formation energy from the elements in eV per atom: 0.160
Total energy in eV/atom: -4.313
Calculated volume in Å³ per atom: 13.80
Density of states at the Fermi level in states/eV/atom: 0.3990
Spin magnetization in Bohr magnetons per cell: 2.49
Space group: P4mm, No. 99

Lattice parameters (Å, degrees): 2.750 2.750 7.296 90.00 90.00 90.00
Element x y z (fractional)
Be 0.000 0.000 0.000
Fe 0.500 0.500 0.182
Ag 0.000 0.000 0.459
Ag 0.500 0.500 0.773

***

Entry 4:
## HfCuAu (PBE)

Data for a relaxed HfCuAu crystal.

Properties
Formation energy from the elements in eV per atom: -0.262
Offset from the most stable computed form in meV/atom: 89
Total energy in eV/atom: -6.038
Calculated volume in Å³ per atom: 16.95
Density of states at the Fermi level in states/eV/atom: 0.9098
Spin magnetization in Bohr magnetons per cell: 0.00
Space group: P2_1/m, No. 11

Lattice parameters (Å, degrees): 4.124 4.273 6.114 90.00 109.24 90.00
Element x y z (fractional)
Hf 0.102 0.250 0.200
Hf 0.898 0.750 0.800
Cu 0.252 0.750 0.491
Cu 0.748 0.250 0.509
Au 0.400 0.250 0.821
Au 0.600 0.750 0.179

***

Entry 5:
## Tc2AsBr (PBE)

Data for a relaxed Tc2AsBr crystal.

Properties
Uncorrected formation energy in eV/atom: 0.99
Offset from the most stable computed form in meV/atom: 873
Total energy in eV/atom: -5.771
Calculated volume in Å³ per atom: 16.85
Density of states at the Fermi level in states/eV/atom: 1.5778
Spin magnetization in Bohr magnetons per cell: 1.38
Space group: F-43m, No. 216

Lattice parameters (Å, degrees): 6.460 6.460 6.460 90.00 90.00 90.00
Element x y z (fractional)
Tc 0.000 0.000 0.000
Tc 0.000 0.500 0.500
Tc 0.250 0.250 0.250
Tc 0.250 0.750 0.750
Tc 0.500 0.000 0.500
Tc 0.500 0.500 0.000
Tc 0.750 0.250 0.750
Tc 0.750 0.750 0.250
As 0.250 0.250 0.750
As 0.250 0.750 0.250
As 0.750 0.250 0.250
As 0.750 0.750 0.750
Br 0.000 0.000 0.500
Br 0.000 0.500 0.000
Br 0.500 0.000 0.000
Br 0.500 0.500 0.500

***

Entry 6:
## Na4TeO (PBE)

Data for a relaxed Na4TeO crystal.

Properties
Uncorrected formation energy in eV/atom: -0.97
Total energy in eV/atom: -3.200
Calculated volume in Å³ per atom: 23.69
Spin magnetization in Bohr magnetons per cell: 0.00
Space group: C2/m, No. 12

Lattice parameters (Å, degrees): 7.370 7.370 6.304 95.57 95.57 56.64
Element x y z (fractional)
Na 0.086 0.709 0.442
Na 0.192 0.192 0.161
Na 0.219 0.781 0.000
Na 0.291 0.914 0.558
Na 0.709 0.086 0.442
Na 0.781 0.219 0.000
Na 0.808 0.808 0.839
Na 0.914 0.291 0.558
Te 0.319 0.319 0.758
Te 0.681 0.681 0.242
O 0.026 0.026 0.272
O 0.974 0.974 0.728